Here is Mg14ZrZn after structural relaxation from Alexandria via LeMat-Bulk. Energies are from PBE.

abc: 6.3549 6.3549 10.1305
angles: 90.00 90.00 120.00
Sites, in units of the cell vectors:
Mg 0.0000 0.0000 0.2403
Mg 0.0000 0.0000 0.7597
Mg 0.0103 0.5051 0.2520
Mg 0.0103 0.5051 0.7480
Mg 0.3297 0.1649 0.5000
Mg 0.3421 0.1710 0.0000
Mg 0.4949 0.5051 0.2520
Mg 0.4949 0.5051 0.7480
Mg 0.4949 0.9897 0.2520
Mg 0.4949 0.9897 0.7480
Mg 0.8290 0.1710 0.0000
Mg 0.8290 0.6579 0.0000
Mg 0.8351 0.1649 0.5000
Mg 0.8351 0.6703 0.5000
Zr 0.3333 0.6667 0.0000
Zn 0.3333 0.6667 0.5000

Properties
ΔH_f (0 K) = 0.1 kcal/mol of atoms
V = 354 Å³ per cell



Here is Mg3ZrZn after structural relaxation from Alexandria via LeMat-Bulk. Energies are from PBE.

abc: 4.8574 4.8574 4.8574
angles: 90.00 90.00 90.00
Sites, in units of the cell vectors:
Mg 0.0000 0.0000 0.5000
Mg 0.0000 0.5000 0.0000
Mg 0.5000 0.0000 0.0000
Zr 0.5000 0.5000 0.5000
Zn 0.0000 0.0000 0.0000

Properties
ΔH_f (0 K) = 9.8 kcal/mol of atoms
V = 115 Å³ per cell



Here is Mg2Zr2Zn15 after structural relaxation from Alexandria via LeMat-Bulk. Energies are from PBE.

abc: 6.7487 6.7487 6.7487
angles: 82.99 82.99 82.99
Sites, in units of the cell vectors:
Mg 0.1066 0.1066 0.1066
Mg 0.8934 0.8934 0.8934
Zr 0.3457 0.3457 0.3457
Zr 0.6543 0.6543 0.6543
Zn 0.0000 0.0000 0.5000
Zn 0.0000 0.3013 0.6987
Zn 0.0000 0.5000 0.0000
Zn 0.0000 0.6987 0.3013
Zn 0.1636 0.6408 0.6408
Zn 0.3013 0.0000 0.6987
Zn 0.3013 0.6987 0.0000
Zn 0.3592 0.3592 0.8364
Zn 0.3592 0.8364 0.3592
Zn 0.5000 0.0000 0.0000
Zn 0.6408 0.1636 0.6408
Zn 0.6408 0.6408 0.1636
Zn 0.6987 0.0000 0.3013
Zn 0.6987 0.3013 0.0000
Zn 0.8364 0.3592 0.3592

Properties
ΔH_f (0 K) = -2.8 kcal/mol of atoms
V = 301 Å³ per cell



Here is Mg3ZrZn after structural relaxation from Alexandria via LeMat-Bulk. Energies are from PBE.

abc: 5.7768 5.7768 5.7768
angles: 90.00 90.00 90.00
Sites, in units of the cell vectors:
Mg 0.0000 0.0000 0.5000
Mg 0.0000 0.5000 0.0000
Mg 0.5000 0.0000 0.0000
Zr 0.0000 0.0000 0.0000
Zn 0.5000 0.5000 0.5000

Properties
ΔH_f (0 K) = 27.6 kcal/mol of atoms
V = 193 Å³ per cell



Here is Mg2ZrZn after structural relaxation from Alexandria via LeMat-Bulk. Energies are from PBE.

abc: 5.4608 5.4608 5.4675
angles: 104.92 104.92 31.63
Sites, in units of the cell vectors:
Mg 0.0000 0.0000 0.0000
Mg 0.2372 0.2372 0.8014
Zr 0.4612 0.4612 0.4784
Zn 0.7136 0.7136 0.3089

Properties
ΔH_f (0 K) = 0.6 kcal/mol of atoms
V = 82 Å³ per cell



Here is MgZr6Zn after structural relaxation from Alexandria via LeMat-Bulk. Energies are from PBE.

abc: 4.4215 4.4215 8.8317
angles: 90.00 90.00 90.00
Sites, in units of the cell vectors:
Mg 0.0000 0.0000 0.0000
Zr 0.0000 0.5000 0.2571
Zr 0.0000 0.5000 0.7429
Zr 0.5000 0.0000 0.2571
Zr 0.5000 0.0000 0.7429
Zr 0.5000 0.5000 0.0000
Zr 0.5000 0.5000 0.5000
Zn 0.0000 0.0000 0.5000

Properties
ΔH_f (0 K) = -1.1 kcal/mol of atoms
V = 173 Å³ per cell